First-principles (GGA-PBE) data for crystalline Na2OsPd at its relaxed geometry, as listed in the Alexandria database.

abc: 6.2047 6.2047 6.2047
angles: 99.64 99.64 131.68
Fractional positions:
Na1 0.1074 0.6250 0.9824
Na2 0.3750 0.3574 0.4824
Na3 0.6426 0.1250 0.0176
Na4 0.8750 0.8926 0.5176
Os1 0.2500 0.7500 0.5000
Os2 0.5000 0.5000 0.0000
Pd1 0.0000 0.0000 0.0000
Pd2 0.7500 0.2500 0.5000

DFT total energy: -3.635 eV per atom
Calculated density: 6.99 Mg/m³
ΔE to the lowest computed polymorph: 0.00 eV per formula unit